Material: CrCdCo2
Method: DFT, PBEsol
State: optimized geometry

```
data_CrCdCo2
_chemical_formula_sum 'Cr1 Cd1 Co2'
_symmetry_space_group_name_H-M 'P 1'
_symmetry_Int_Tables_number 1
_cell_length_a 4.661
_cell_length_b 4.661
_cell_length_c 4.661
_cell_angle_alpha 134.41
_cell_angle_beta 134.41
_cell_angle_gamma 66.44
loop_
_symmetry_equiv_pos_as_xyz
'x,y,z'
loop_
_atom_site_label
_atom_site_type_symbol
_atom_site_fract_x
_atom_site_fract_y
_atom_site_fract_z
Cr1 Cr 0.000 0.000 0.000
Cd1 Cd 0.750 0.250 0.500
Co1 Co 0.250 0.750 0.500
Co2 Co 0.500 0.500 0.000
```

Final energy = -25.1 eV per cell
D(E_F) = 1.274 states/eV/atom